(1)
Below is a relaxed structure of PmPr2Tm2, with properties calculated at the PBE level.

a = 3.603 Å, b = 3.605 Å, c = 15.208 Å
α = 96.77°, β = 83.20°, γ = 60.02°
Positions (direct):
Pm 0.500 0.500 0.500
Pr 0.225 0.443 0.108
Pr 0.775 0.557 0.892
Tm 0.638 0.028 0.696
Tm 0.362 0.972 0.304

ΔH_f (0 K) = 0.03 eV per atom
Energy above the most stable polymorph in this dataset = 0 meV per atom
Energy = -4.6199 eV/atom
Crystal system = monoclinic
Magnetization = 0.00 μB/f.u.
Volume = 33.2 A^3/atom

(2)
Below is a relaxed structure of Pm4Pr6Tm, with properties calculated at the PBE level.

a = 6.869 Å, b = 6.869 Å, c = 9.696 Å
α = 110.74°, β = 110.74°, γ = 90.00°
Positions (direct):
Pm 0.056 0.711 0.767
Pm 0.944 0.944 0.233
Pm 0.711 0.056 0.767
Pm 0.289 0.289 0.233
Pr 0.867 0.489 0.357
Pr 0.489 0.867 0.357
Pr 0.511 0.511 0.643
Pr 0.000 0.500 0.000
Pr 0.133 0.133 0.643
Pr 0.500 0.000 0.000
Tm 0.500 0.500 0.000

ΔH_f (0 K) = 0.27 eV per atom
Energy = -4.4671 eV/atom
Crystal system = tetragonal
Magnetization = 0.00 μB/f.u.
Volume = 36.0 A^3/atom

(3)
Below is a relaxed structure of Pm4Pr5Tm4, with properties calculated at the PBE level.

a = 5.113 Å, b = 9.606 Å, c = 9.606 Å
α = 85.94°, β = 74.57°, γ = 74.57°
Positions (direct):
Pm 0.923 0.460 0.693
Pm 0.616 0.307 0.460
Pm 0.077 0.540 0.307
Pm 0.384 0.693 0.540
Pr 0.693 0.848 0.766
Pr 0.307 0.152 0.234
Pr 0.000 0.000 0.000
Pr 0.541 0.766 0.152
Pr 0.459 0.234 0.848
Tm 0.767 0.388 0.078
Tm 0.233 0.612 0.922
Tm 0.845 0.922 0.388
Tm 0.155 0.078 0.612

ΔH_f (0 K) = 0.02 eV per atom
Energy = -4.6561 eV/atom
Crystal system = tetragonal
Magnetization = 0.00 μB/f.u.
Volume = 33.7 A^3/atom

(4)
Below is a relaxed structure of Pm6Pr3Tm, with properties calculated at the PBE level.

a = 6.509 Å, b = 11.142 Å, c = 11.142 Å
α = 120.62°, β = 90.00°, γ = 90.00°
Positions (direct):
Pm 0.057 0.714 0.627
Pm 0.557 0.627 0.714
Pm 0.367 0.524 0.943
Pm 0.867 0.943 0.524
Pm 0.366 0.965 0.035
Pm 0.651 0.275 0.725
Pm 0.151 0.725 0.275
Pm 0.866 0.035 0.965
Pm 0.367 0.057 0.476
Pm 0.867 0.476 0.057
Pm 0.057 0.373 0.286
Pm 0.557 0.286 0.373
Pr 0.464 0.942 0.710
Pr 0.964 0.710 0.942
Pr 0.077 0.386 0.614
Pr 0.577 0.614 0.386
Pr 0.964 0.058 0.290
Pr 0.464 0.290 0.058
Tm 0.116 0.192 0.808
Tm 0.616 0.808 0.192

ΔH_f (0 K) = 0.14 eV per atom
Energy above the most stable polymorph in this dataset = 0 meV per atom
Energy = -4.5949 eV/atom
Crystal system = orthorhombic
Magnetization = 0.00 μB/f.u.
Volume = 34.8 A^3/atom

- Which formula does entry 4 have?
  Pm6Pr3Tm